[1]
DFT (PBE) results for a geometry-optimized ZrNi6Ge4 structure.

Geometry as POSCAR:
```
ZrNi6Ge4
1.0
3.691 0.000 0.000
0.000 6.802 0.000
0.000 -3.401 5.891
Zr Ni Ge
1 6 4
Direct
0.000 0.000 0.000
0.000 0.536 0.072
0.500 0.594 0.797
0.000 0.536 0.464
0.000 0.928 0.464
0.500 0.203 0.797
0.500 0.203 0.406
0.500 0.811 0.623
0.500 0.377 0.189
0.500 0.811 0.189
0.000 0.333 0.667
```

Results
Crystal system ... hexagonal
Total DFT energy (no corrections) ... -66.51 eV/f.u.
Formation energy from the elements ... -437 meV per atom


[2]
DFT (PBE) results for a geometry-optimized Zn2Co2Ni structure.

Geometry as POSCAR:
```
Zn2Co2Ni
1.0
-3.602 5.689 -0.654
-5.716 -3.526 0.814
0.139 0.399 2.703
Ni Zn Co
2 4 4
Direct
0.000 0.000 0.000
0.500 0.500 0.000
0.366 0.866 0.000
0.866 0.634 0.000
0.634 0.134 0.000
0.134 0.366 0.000
0.166 0.666 0.500
0.666 0.834 0.500
0.834 0.334 0.500
0.334 0.166 0.500
```

Results
Crystal system ... tetragonal
Total DFT energy (no corrections) ... -21.30 eV/f.u.
Formation energy from the elements ... 248 meV per atom


[3]
DFT (PBE) results for a geometry-optimized CoRu2Se structure.

Geometry as POSCAR:
```
CoRu2Se
1.0
2.763 0.001 0.000
-1.266 2.456 0.000
0.000 0.000 8.613
Co Ru Se
1 2 1
Direct
0.500 0.500 0.750
0.000 0.000 0.989
0.000 0.000 0.511
0.500 0.500 0.250
```

Results
Crystal system ... orthorhombic
Total DFT energy (no corrections) ... -26.65 eV/f.u.


[4]
DFT (PBE) results for a geometry-optimized ZrI3Br structure.

Geometry as POSCAR:
```
ZrI3Br
1.0
-1.273 1.191 5.428
3.915 -3.761 1.743
3.945 4.117 0.022
I Br Zr
3 1 1
Direct
0.000 0.500 0.000
0.000 0.000 0.500
0.500 0.000 0.000
0.500 0.500 0.500
0.000 0.000 0.000
```

Results
Crystal system ... cubic
Total DFT energy (no corrections) ... -17.25 eV/f.u.